# 1
CaTmIn: optimized geometry, PBE.

a = 3.571 Å, b = 3.571 Å, c = 14.152 Å
α = 90.00°, β = 90.00°, γ = 90.00°
Space group I4mm (No. 107)
Unique sites:
Ca1 0.000 0.000 0.000 [2 per cell]
Tm1 0.000 0.000 0.703 [2 per cell]
In1 0.000 0.000 0.344 [2 per cell]

Results
E above lowest polymorph, eV/atom: 0.1029
ΔH_f (0 K), eV per atom: -0.2436


# 2
Ca2TmIn3: optimized geometry, PBE.

a = 5.361 Å, b = 16.065 Å, c = 7.694 Å
α = 90.00°, β = 90.00°, γ = 90.00°
Space group Cmmm (No. 65)
Unique sites:
Ca1 0.000 0.000 0.000 [2 per cell]
Ca2 0.000 0.000 0.500 [2 per cell]
Ca3 0.000 0.336 0.000 [4 per cell]
Tm1 0.000 0.335 0.500 [4 per cell]
In1 0.000 0.170 0.258 [8 per cell]
In2 0.000 0.500 0.258 [4 per cell]

Results
ΔH_f (0 K), eV per atom: -0.4541


# 3
CaTmIn: optimized geometry, PBE.

a = 8.3494 Å, b = 8.3494 Å, c = 4.6163 Å
α = 90.00°, β = 90.00°, γ = 120.00°
Space group P-62m (No. 189)
Unique sites:
Ca1 0.0000 0.5879 0.0000 [3 per cell]
Tm1 0.0000 0.2503 0.5000 [3 per cell]
In1 0.0000 0.0000 0.0000 [1 per cell]
In2 0.3333 0.6667 0.5000 [2 per cell]

Results
E above lowest polymorph, eV/atom: 0.0649
ΔH_f (0 K), eV per atom: -0.2816


# 4
CaTm2In: optimized geometry, PBE.

a = 3.606 Å, b = 3.606 Å, c = 9.475 Å
α = 90.00°, β = 90.00°, γ = 90.00°
Space group P4/mmm (No. 123)
Unique sites:
Ca1 0.000 0.000 0.000 [1 per cell]
Tm1 0.500 0.500 0.294 [2 per cell]
In1 0.000 0.000 0.500 [1 per cell]

Results
E above lowest polymorph, eV/atom: 0.0391
ΔH_f (0 K), eV per atom: -0.1450